1.
# LaTa2Sb, optimized geometry, DFT PBE
data_LaTa2Sb
_space_group_name_H-M_alt 'I 4/m m m'
_space_group_IT_number 139
_space_group_name_Hall '-I 4 2'
_cell_length_a 4.384
_cell_length_b 4.384
_cell_length_c 9.412
_cell_angle_alpha 90.00
_cell_angle_beta 90.00
_cell_angle_gamma 90.00
loop_
_atom_site_label
_atom_site_type_symbol
_atom_site_fract_x
_atom_site_fract_y
_atom_site_fract_z
_atom_site_occupancy
La1 La 0.000 0.000 0.000 1
Ta1 Ta 0.000 0.500 0.250 1
Sb1 Sb 0.000 0.000 0.500 1
# Raw total energy (eV per cell): -62.61
# Energy relative to the elements, uncorrected (eV per formula unit): 1.45
# Total magnetization (Bohr magnetons per cell): 0.0

2.
# La2TaSb, optimized geometry, DFT PBE
data_La2TaSb
_space_group_name_H-M_alt 'C m m 2'
_space_group_IT_number 35
_cell_length_a 3.846
_cell_length_b 5.540
_cell_length_c 10.621
_cell_angle_alpha 90.00
_cell_angle_beta 90.00
_cell_angle_gamma 90.00
loop_
_space_group_symop_operation_xyz
'x,y,z'
'-x,-y,z'
'-x,y,z'
'x,-y,z'
'x+1/2,y+1/2,z'
'-x+1/2,-y+1/2,z'
'-x+1/2,y+1/2,z'
'x+1/2,-y+1/2,z'
loop_
_atom_site_label
_atom_site_type_symbol
_atom_site_fract_x
_atom_site_fract_y
_atom_site_fract_z
_atom_site_occupancy
La1 La 0.000 0.000 0.000 1
La2 La 0.000 0.500 0.336 1
Ta1 Ta 0.000 0.000 0.567 1
Sb1 Sb 0.000 0.500 0.756 1
# Raw total energy (eV per cell): -50.71
# Energy relative to the elements, uncorrected (eV per formula unit): 0.48
# Total magnetization (Bohr magnetons per cell): 0.0

3.
# LaTa2Sb, optimized geometry, DFT PBE
data_LaTa2Sb
_space_group_name_H-M_alt 'C 1 2/m 1'
_space_group_IT_number 12
_cell_length_a 9.905
_cell_length_b 3.517
_cell_length_c 5.483
_cell_angle_alpha 90.00
_cell_angle_beta 102.32
_cell_angle_gamma 90.00
loop_
_space_group_symop_operation_xyz
'x,y,z'
'-x,-y,-z'
'-x,y,-z'
'x,-y,z'
'x+1/2,y+1/2,z'
'-x+1/2,-y+1/2,-z'
'-x+1/2,y+1/2,-z'
'x+1/2,-y+1/2,z'
loop_
_atom_site_label
_atom_site_type_symbol
_atom_site_fract_x
_atom_site_fract_y
_atom_site_fract_z
_atom_site_occupancy
La1 La 0.000 0.000 0.000 1
Ta1 Ta 0.240 0.000 0.691 1
Sb1 Sb 0.000 0.500 0.500 1
# Raw total energy (eV per cell): -64.09
# Energy relative to the elements, uncorrected (eV per formula unit): 0.71
# Total magnetization (Bohr magnetons per cell): 0.0